DFT (GGA-PBEsol) results for crystalline Sc2RuCl at its relaxed geometry.

a = 3.1506 Å, b = 3.2237 Å, c = 7.4149 Å
α = 90.11°, β = 90.00°, γ = 90.00°
Atoms (fractional coordinates):
Sc  0.0000  0.9990  0.7926
Sc  0.0000  0.0010  0.2074
Ru  0.5000  0.5000  0.0000
Cl  0.5000  0.0000  0.5000

Computed properties:
Crystal system: monoclinic
Formation energy from raw total energies (meV/atom): -984.8


DFT (GGA-PBEsol) results for crystalline Bi12Cl5O16 at its relaxed geometry.

a = 3.9037 Å, b = 9.8005 Å, c = 15.2440 Å
α = 92.11°, β = 97.36°, γ = 90.00°
Atoms (fractional coordinates):
Bi  0.9401  0.0669  0.8801
Bi  0.6517  0.0976  0.3035
Bi  0.8216  0.2149  0.6432
Bi  0.5316  0.2478  0.0632
Bi  0.4117  0.3902  0.8233
Bi  0.7026  0.4465  0.4053
Bi  0.2974  0.5535  0.5947
Bi  0.5883  0.6098  0.1767
Bi  0.4684  0.7522  0.9368
Bi  0.1784  0.7851  0.3568
Bi  0.3483  0.9024  0.6965
Bi  0.0599  0.9331  0.1199
Cl  0.2235  0.2128  0.4469
Cl  0.1129  0.3631  0.2258
Cl  0.0000  0.5000  0.0000
Cl  0.8871  0.6369  0.7742
Cl  0.7765  0.7872  0.5531
O  0.8649  0.0066  0.7299
O  0.5750  0.0682  0.1500
O  0.3169  0.0925  0.6339
O  0.0183  0.1400  0.0366
O  0.4574  0.2117  0.9148
O  0.8951  0.2806  0.7903
O  0.3390  0.3662  0.6779
O  0.7768  0.4522  0.5535
O  0.2232  0.5478  0.4465
O  0.6610  0.6338  0.3221
O  0.1049  0.7194  0.2097
O  0.5426  0.7883  0.0852
O  0.9817  0.8600  0.9634
O  0.6831  0.9075  0.3661
O  0.4250  0.9318  0.8500
O  0.1351  0.9934  0.2701

Computed properties:
Crystal system: monoclinic
Formation energy from raw total energies (meV/atom): -1235.9


DFT (GGA-PBEsol) results for crystalline CaCu4Pt at its relaxed geometry.

a = 4.9113 Å, b = 4.9113 Å, c = 4.9113 Å
α = 60.00°, β = 60.00°, γ = 60.00°
Atoms (fractional coordinates):
Ca  0.0000  0.0000  0.0000
Cu  0.6242  0.6242  0.1274
Cu  0.1274  0.6242  0.6242
Cu  0.6242  0.1274  0.6242
Cu  0.6242  0.6242  0.6242
Pt  0.2500  0.2500  0.2500

Computed properties:
Crystal system: cubic
Formation enthalpy at 0 K (eV/atom): -0.2158


DFT (GGA-PBEsol) results for crystalline ZrBiPRu2 at its relaxed geometry.

a = 4.3046 Å, b = 4.3046 Å, c = 5.2597 Å
α = 90.00°, β = 90.00°, γ = 90.00°
Atoms (fractional coordinates):
Ru  0.0000  0.5000  0.0000
Ru  0.5000  0.0000  0.0000
Bi  0.0000  0.0000  0.5000
Zr  0.5000  0.5000  0.5000
P  0.0000  0.0000  0.0000

Computed properties:
Crystal system: tetragonal
Formation enthalpy at 0 K (eV/atom): 0.3575


DFT (GGA-PBEsol) results for crystalline K5Au at its relaxed geometry.

a = 4.1881 Å, b = 5.0873 Å, c = 16.1539 Å
α = 90.00°, β = 97.45°, γ = 90.00°
Atoms (fractional coordinates):
K  0.3121  0.5000  0.6243
K  0.0870  0.0000  0.1741
K  0.0000  0.5000  0.0000
K  0.9130  0.0000  0.8259
K  0.6879  0.5000  0.3757
Au  0.5000  0.0000  0.0000

Computed properties:
Crystal system: orthorhombic
Formation enthalpy at 0 K (eV/atom): -0.0054


DFT (GGA-PBEsol) results for crystalline CaNiH3 at its relaxed geometry.

a = 3.4727 Å, b = 3.4727 Å, c = 3.4727 Å
α = 90.00°, β = 90.00°, γ = 90.00°
Atoms (fractional coordinates):
Ni  0.0000  0.0000  0.0000
Ca  0.5000  0.5000  0.5000
H  0.0000  0.5000  0.0000
H  0.0000  0.0000  0.5000
H  0.5000  0.0000  0.0000

Computed properties:
Crystal system: cubic
DFT total energy (eV/atom): -4.1630


DFT (GGA-PBEsol) results for crystalline MnBe2In at its relaxed geometry.

a = 2.8315 Å, b = 2.8315 Å, c = 6.1281 Å
α = 90.00°, β = 90.00°, γ = 90.00°
Last column: magnetic moment on the atom in μB.
Atoms (fractional coordinates):
Be  0.0000  0.0000  0.0144  -0.03
Be  0.5000  0.5000  0.1844  0.00
Mn  0.5000  0.5000  0.8088  2.27
In  0.0000  0.0000  0.4924  -0.05

Computed properties:
Crystal system: tetragonal
Formation enthalpy at 0 K (eV/atom): 0.2757


DFT (GGA-PBEsol) results for crystalline TlInAu at its relaxed geometry.

a = 3.3352 Å, b = 3.3352 Å, c = 6.6861 Å
α = 104.44°, β = 104.44°, γ = 90.00°
Atoms (fractional coordinates):
Tl  0.3469  0.3469  0.6937
Au  0.0095  0.0095  0.0189
In  0.6437  0.6437  0.2874

Computed properties:
Crystal system: tetragonal
Formation enthalpy at 0 K (eV/atom): -0.0437


| no. | calculated volume (Å³/atom) |
| --- | --- |
| 1 | 18.8 |
| 2 | 17.5 |
| 3 | 14.0 |
| 4 | 19.5 |
| 5 | 56.9 |
| 6 | 8.4 |
| 7 | 12.3 |
| 8 | 23.2 |